No. 1
DFT (PBE) results for an optimized crystal structure of Cd2Fe. Values from VASP.

```
&SYSTEM
  ibrav = 0, nat = 12, ntyp = 2
/
ATOMIC_SPECIES
Fe 55.84 Fe.upf
Cd 112.41 Cd.upf
CELL_PARAMETERS angstrom
6.331 0.000 0.000
0.000 6.331 0.000
0.000 0.000 6.331
ATOMIC_POSITIONS crystal
Fe 0.000 0.000 0.000
Fe 0.000 0.500 0.500
Fe 0.500 0.000 0.500
Fe 0.500 0.500 0.000
Cd 0.250 0.750 0.750
Cd 0.250 0.750 0.250
Cd 0.250 0.250 0.750
Cd 0.250 0.250 0.250
Cd 0.750 0.750 0.750
Cd 0.750 0.750 0.250
Cd 0.750 0.250 0.750
Cd 0.750 0.250 0.250
```

Computed properties:
Space-group type ... Fm-3m (225)

---

No. 2
DFT (PBE) results for an optimized crystal structure of Cd3Fe. Values from VASP.

```
&SYSTEM
  ibrav = 0, nat = 4, ntyp = 2
/
ATOMIC_SPECIES
Cd 112.41 Cd.upf
Fe 55.84 Fe.upf
CELL_PARAMETERS angstrom
-2.229 1.659 4.331
-3.407 -3.846 -0.280
3.147 -2.989 2.765
ATOMIC_POSITIONS crystal
Cd 0.000 0.000 0.500
Cd 0.000 0.500 0.000
Cd 0.500 0.000 0.000
Fe 0.000 0.000 0.000
```

Computed properties:
Space-group type ... Pm-3m (221)

---

No. 3
DFT (PBE) results for an optimized crystal structure of CdFe2. Values from VASP.

```
&SYSTEM
  ibrav = 0, nat = 6, ntyp = 2
/
ATOMIC_SPECIES
Cd 112.41 Cd.upf
Fe 55.84 Fe.upf
CELL_PARAMETERS angstrom
0.476 0.509 4.975
-3.883 2.315 -2.189
-0.712 -4.907 -0.804
ATOMIC_POSITIONS crystal
Cd 0.250 0.250 0.000
Cd 0.750 0.750 0.000
Fe 0.369 0.131 0.500
Fe 0.869 0.369 0.238
Fe 0.131 0.631 0.762
Fe 0.631 0.869 0.500
```

Computed properties:
Space-group type ... I4/mcm (140)

---

No. 4
DFT (PBE) results for an optimized crystal structure of CdFe4. Values from VASP.

```
&SYSTEM
  ibrav = 0, nat = 5, ntyp = 2
/
ATOMIC_SPECIES
Cd 112.41 Cd.upf
Fe 55.84 Fe.upf
CELL_PARAMETERS angstrom
-3.668 -2.973 2.730
-2.072 1.686 4.755
0.901 1.881 -5.039
ATOMIC_POSITIONS crystal
Cd 0.000 0.000 0.000
Fe 0.250 0.750 0.500
Fe 0.610 0.610 0.000
Fe 0.390 0.390 0.000
Fe 0.750 0.250 0.500
```

Computed properties:
Space-group type ... I4/mmm (139)
ΔE to the lowest computed polymorph ... 22.4 kJ/mol of atoms

---

No. 5
DFT (PBE) results for an optimized crystal structure of Cd3Fe. Values from VASP.

```
&SYSTEM
  ibrav = 0, nat = 4, ntyp = 2
/
ATOMIC_SPECIES
Cd 112.41 Cd.upf
Fe 55.84 Fe.upf
CELL_PARAMETERS angstrom
-4.617 -0.259 1.033
-1.386 -1.115 4.391
-1.999 3.291 2.761
ATOMIC_POSITIONS crystal
Cd 0.250 0.250 0.250
Cd 0.750 0.750 0.750
Cd 0.500 0.500 0.500
Fe 0.000 0.000 0.000
```

Computed properties:
Space-group type ... Fm-3m (225)

---

No. 6
DFT (PBE) results for an optimized crystal structure of Cd2Fe. Values from VASP.

```
&SYSTEM
  ibrav = 0, nat = 12, ntyp = 2
/
ATOMIC_SPECIES
Fe 55.84 Fe.upf
Cd 112.41 Cd.upf
CELL_PARAMETERS angstrom
5.598 0.000 0.000
2.799 4.848 0.000
0.000 0.000 9.152
ATOMIC_POSITIONS crystal
Fe 0.667 0.667 0.125
Fe 0.667 0.667 0.375
Fe 0.333 0.333 0.625
Fe 0.333 0.333 0.875
Cd 0.000 0.000 0.000
Cd 0.000 0.000 0.500
Cd 0.828 0.344 0.750
Cd 0.344 0.828 0.750
Cd 0.172 0.172 0.250
Cd 0.828 0.828 0.750
Cd 0.656 0.172 0.250
Cd 0.172 0.656 0.250
```

Computed properties:
Space-group type ... P6_3/mmc (194)

---

No. 7
DFT (PBE) results for an optimized crystal structure of CdFe2. Values from VASP.

```
&SYSTEM
  ibrav = 0, nat = 6, ntyp = 2
/
ATOMIC_SPECIES
Cd 112.41 Cd.upf
Fe 55.84 Fe.upf
CELL_PARAMETERS angstrom
-3.965 1.820 5.954
-3.803 5.789 2.555
1.724 -4.710 -5.416
ATOMIC_POSITIONS crystal
Cd 0.000 0.000 0.000
Cd 0.750 0.250 0.500
Fe 0.332 0.832 0.500
Fe 0.168 0.668 0.500
Fe 0.582 0.582 0.000
Fe 0.418 0.418 0.000
```

Computed properties:
Space-group type ... I4_1/amd (141)

---

No. 8
DFT (PBE) results for an optimized crystal structure of CdFe4. Values from VASP.

```
&SYSTEM
  ibrav = 0, nat = 5, ntyp = 2
/
ATOMIC_SPECIES
Cd 112.41 Cd.upf
Fe 55.84 Fe.upf
CELL_PARAMETERS angstrom
-3.391 3.391 1.451
3.391 -3.391 1.451
3.391 3.391 -1.451
ATOMIC_POSITIONS crystal
Cd 0.000 0.000 0.000
Fe 0.825 0.613 0.438
Fe 0.175 0.387 0.562
Fe 0.613 0.175 0.789
Fe 0.387 0.825 0.211
```

Computed properties:
Space-group type ... I4/m (87)
ΔE to the lowest computed polymorph ... 0.0 kJ/mol of atoms

---

Calculated spin magnetization (μB per atom), listed in the same order as above: 0.847, 0.613, 1.744, 0.848, 0.596, 0.940, 1.214, 1.956
Calculated ΔH_f (0 K) (eV per atom), listed in the same order as above: 0.516, 0.660, 0.700, 0.444, 0.334, 0.555, 0.634, 0.212